No. 1
# MnSb2Pb | the Alexandria database | SCAN | single point on PBEsol structure
# Crystal system = trigonal
data_MnSb2Pb
_space_group_name_H-M_alt 'R 3 m'
_space_group_IT_number 160
_space_group_name_Hall 'R 3 -2"'
_cell_length_a 3.3718
_cell_length_b 3.3718
_cell_length_c 28.3311
_cell_angle_alpha 90.00
_cell_angle_beta 90.00
_cell_angle_gamma 120.00
loop_
_atom_site_label
_atom_site_type_symbol
_atom_site_fract_x
_atom_site_fract_y
_atom_site_fract_z
Mn1 Mn 0.0000 0.0000 0.0000
Sb1 Sb 0.0000 0.0000 0.2726
Sb2 Sb 0.0000 0.0000 0.5068
Pb1 Pb 0.0000 0.0000 0.7404

***

No. 2
# ZrBe3Ru | the Alexandria database | SCAN | single point on PBEsol structure
# Crystal system = cubic
# Energy of formation from the pure elements = 2.036 eV/atom
data_ZrBe3Ru
_space_group_name_H-M_alt 'P m -3 m'
_space_group_IT_number 221
_space_group_name_Hall '-P 4 2 3'
_cell_length_a 4.2721
_cell_length_b 4.2721
_cell_length_c 4.2721
_cell_angle_alpha 90.00
_cell_angle_beta 90.00
_cell_angle_gamma 90.00
loop_
_atom_site_label
_atom_site_type_symbol
_atom_site_fract_x
_atom_site_fract_y
_atom_site_fract_z
Zr1 Zr 0.0000 0.0000 0.0000
Be1 Be 0.0000 0.0000 0.5000
Ru1 Ru 0.5000 0.5000 0.5000

***

No. 3
# SrFePt2 | the Alexandria database | SCAN | single point on PBEsol structure
# Crystal system = cubic
# Energy of formation from the pure elements = -0.058 eV/atom
data_SrFePt2
_space_group_name_H-M_alt 'F m -3 m'
_space_group_IT_number 225
_space_group_name_Hall '-F 4 2 3'
_cell_length_a 6.6284
_cell_length_b 6.6284
_cell_length_c 6.6284
_cell_angle_alpha 90.00
_cell_angle_beta 90.00
_cell_angle_gamma 90.00
loop_
_atom_site_label
_atom_site_type_symbol
_atom_site_fract_x
_atom_site_fract_y
_atom_site_fract_z
Sr1 Sr 0.0000 0.0000 0.0000
Fe1 Fe 0.0000 0.0000 0.5000
Pt1 Pt 0.2500 0.2500 0.2500

***

No. 4
# CeCo3B2 | the Alexandria database | SCAN | single point on PBEsol structure
# Crystal system = hexagonal
# Energy of formation from the pure elements = -0.399 eV/atom
data_CeCo3B2
_space_group_name_H-M_alt 'P 6/m m m'
_space_group_IT_number 191
_space_group_name_Hall '-P 6 2'
_cell_length_a 4.9574
_cell_length_b 4.9574
_cell_length_c 2.9972
_cell_angle_alpha 90.00
_cell_angle_beta 90.00
_cell_angle_gamma 120.00
loop_
_atom_site_label
_atom_site_type_symbol
_atom_site_fract_x
_atom_site_fract_y
_atom_site_fract_z
Ce1 Ce 0.0000 0.0000 0.0000
Co1 Co 0.0000 0.5000 0.5000
B1 B 0.3333 0.6667 0.0000

***

No. 5
# Hg2AsAu | the Alexandria database | SCAN | single point on PBEsol structure
# Crystal system = tetragonal
# Energy of formation from the pure elements = 0.302 eV/atom
data_Hg2AsAu
_space_group_name_H-M_alt 'P 4/m m m'
_space_group_IT_number 123
_space_group_name_Hall '-P 4 2'
_cell_length_a 4.2886
_cell_length_b 4.2886
_cell_length_c 4.2833
_cell_angle_alpha 90.00
_cell_angle_beta 90.00
_cell_angle_gamma 90.00
loop_
_atom_site_label
_atom_site_type_symbol
_atom_site_fract_x
_atom_site_fract_y
_atom_site_fract_z
Hg1 Hg 0.0000 0.5000 0.0000
As1 As 0.0000 0.0000 0.5000
Au1 Au 0.5000 0.5000 0.5000

***

No. 6
# Ho2CdCu2 | the Alexandria database | SCAN | single point on PBEsol structure
# Crystal system = tetragonal
# Energy of formation from the pure elements = -0.375 eV/atom
data_Ho2CdCu2
_space_group_name_H-M_alt 'P 4/m b m'
_space_group_IT_number 127
_space_group_name_Hall '-P 4 2ab'
_cell_length_a 7.4154
_cell_length_b 7.4154
_cell_length_c 3.5843
_cell_angle_alpha 90.00
_cell_angle_beta 90.00
_cell_angle_gamma 90.00
loop_
_atom_site_label
_atom_site_type_symbol
_atom_site_fract_x
_atom_site_fract_y
_atom_site_fract_z
Ho1 Ho 0.1737 0.3263 0.0000
Cd1 Cd 0.0000 0.0000 0.5000
Cu1 Cu 0.1204 0.6204 0.5000

***

Number 1: uncorrected energy -41.911 eV per atom. Number 2: uncorrected energy -13.682 eV per atom. Number 3: uncorrected energy -45.256 eV per atom. Number 4: uncorrected energy -18.955 eV per atom. Number 5: uncorrected energy -56.118 eV per atom. Number 6: uncorrected energy -32.132 eV per atom.